# ErB5Ir6 PBE-GGA relaxed
data_ErB5Ir6
_chemical_formula_sum 'Er2 B10 Ir12'
_symmetry_space_group_name_H-M 'C 1 2/m 1'
_symmetry_Int_Tables_number 12
_cell_length_a 5.849
_cell_length_b 9.398
_cell_length_c 6.356
_cell_angle_alpha 90.00
_cell_angle_beta 117.02
_cell_angle_gamma 90.00
loop_
_symmetry_equiv_pos_as_xyz
'x,y,z'
'-x,-y,-z'
'-x,y,-z'
'x,-y,z'
'x+1/2,y+1/2,z'
'-x+1/2,-y+1/2,-z'
'-x+1/2,y+1/2,-z'
'x+1/2,-y+1/2,z'
loop_
_atom_site_label
_atom_site_type_symbol
_atom_site_fract_x
_atom_site_fract_y
_atom_site_fract_z
Er1 Er 0.000 0.000 0.000
B1 B 0.000 0.095 0.500
B2 B 0.000 0.319 0.000
B3 B 0.000 0.500 0.500
Ir1 Ir 0.127 0.255 0.748
Ir2 Ir 0.137 0.500 0.259
# - DOS at the Fermi energy (states/eV/cell) = 4.460
# - energy of formation (eV per formula unit) = -5.31

# SmPuZr2 PBE-GGA relaxed
data_SmPuZr2
_chemical_formula_sum 'Sm1 Pu1 Zr2'
_symmetry_space_group_name_H-M 'P 4/m m m'
_symmetry_Int_Tables_number 123
_symmetry_space_group_name_Hall '-P 4 2'
_cell_length_a 4.641
_cell_length_b 4.641
_cell_length_c 4.797
_cell_angle_alpha 90.00
_cell_angle_beta 90.00
_cell_angle_gamma 90.00
loop_
_atom_site_label
_atom_site_type_symbol
_atom_site_fract_x
_atom_site_fract_y
_atom_site_fract_z
Sm1 Sm 0.000 0.000 0.000
Pu1 Pu 0.500 0.500 0.000
Zr1 Zr 0.000 0.500 0.500
# - DOS at the Fermi energy (states/eV/cell) = 10.537
# - energy of formation (eV per formula unit) = 0.74

# LiErSe PBE-GGA relaxed
data_LiErSe
_chemical_formula_sum 'Li1 Er1 Se1'
_symmetry_space_group_name_H-M 'P -6 m 2'
_symmetry_Int_Tables_number 187
_symmetry_space_group_name_Hall 'P -6 2'
_cell_length_a 4.0882
_cell_length_b 4.0882
_cell_length_c 3.8939
_cell_angle_alpha 90.00
_cell_angle_beta 90.00
_cell_angle_gamma 120.00
loop_
_atom_site_label
_atom_site_type_symbol
_atom_site_fract_x
_atom_site_fract_y
_atom_site_fract_z
Li1 Li 0.0000 0.0000 0.0000
Er1 Er 0.3333 0.6667 0.5000
Se1 Se 0.6667 0.3333 0.0000
# - final energy (eV per atom) = -4.3438
# - DOS at the Fermi energy (states/eV/cell) = 0.096

# MnAu3Br PBE-GGA relaxed
data_MnAu3Br
_chemical_formula_sum 'Mn1 Au3 Br1'
_symmetry_space_group_name_H-M 'P m -3 m'
_symmetry_Int_Tables_number 221
_symmetry_space_group_name_Hall '-P 4 2 3'
_cell_length_a 5.147
_cell_length_b 5.147
_cell_length_c 5.147
_cell_angle_alpha 90.00
_cell_angle_beta 90.00
_cell_angle_gamma 90.00
loop_
_atom_site_label
_atom_site_type_symbol
_atom_site_fract_x
_atom_site_fract_y
_atom_site_fract_z
Mn1 Mn 0.000 0.000 0.000
Au1 Au 0.000 0.500 0.500
Br1 Br 0.500 0.500 0.500
# - final energy (eV per atom) = -2.9845
# - DOS at the Fermi energy (states/eV/cell) = 2.348

# Pm2Si4AgPd3 PBE-GGA relaxed
data_Pm2Si4AgPd3
_chemical_formula_sum 'Pm2 Si4 Ag1 Pd3'
_symmetry_space_group_name_H-M 'P -4 m 2'
_symmetry_Int_Tables_number 115
_cell_length_a 4.246
_cell_length_b 4.246
_cell_length_c 10.094
_cell_angle_alpha 90.00
_cell_angle_beta 90.00
_cell_angle_gamma 90.00
loop_
_symmetry_equiv_pos_as_xyz
'x,y,z'
'y,-x,-z'
'-x,-y,z'
'-y,x,-z'
'-x,y,z'
'-y,-x,-z'
'x,-y,z'
'y,x,-z'
loop_
_atom_site_label
_atom_site_type_symbol
_atom_site_fract_x
_atom_site_fract_y
_atom_site_fract_z
Pm1 Pm 0.000 0.500 0.244
Si1 Si 0.000 0.000 0.000
Si2 Si 0.000 0.500 0.641
Si3 Si 0.500 0.500 0.000
Ag1 Ag 0.000 0.000 0.500
Pd1 Pd 0.000 0.500 0.881
Pd2 Pd 0.500 0.500 0.500
# - final energy (eV per atom) = -5.7360
# - DOS at the Fermi energy (states/eV/cell) = 3.752

# CsHg2Bi2 PBE-GGA relaxed
data_CsHg2Bi2
_chemical_formula_sum 'Cs2 Hg4 Bi4'
_symmetry_space_group_name_H-M 'I 4/m m m'
_symmetry_Int_Tables_number 139
_symmetry_space_group_name_Hall '-I 4 2'
_cell_length_a 5.139
_cell_length_b 5.139
_cell_length_c 13.308
_cell_angle_alpha 90.00
_cell_angle_beta 90.00
_cell_angle_gamma 90.00
loop_
_atom_site_label
_atom_site_type_symbol
_atom_site_fract_x
_atom_site_fract_y
_atom_site_fract_z
Cs1 Cs 0.000 0.000 0.000
Hg1 Hg 0.000 0.000 0.393
Bi1 Bi 0.000 0.500 0.250
# - DOS at the Fermi energy (states/eV/cell) = 4.598
# - energy of formation (eV per formula unit) = -0.96

# Cs3AgTe2O8 PBE-GGA relaxed
data_Cs3AgTe2O8
_chemical_formula_sum 'Cs3 Ag1 Te2 O8'
_symmetry_space_group_name_H-M 'P -3 m 1'
_symmetry_Int_Tables_number 164
_symmetry_space_group_name_Hall '-P 3 2"'
_cell_length_a 6.5068
_cell_length_b 6.5068
_cell_length_c 8.4466
_cell_angle_alpha 90.00
_cell_angle_beta 90.00
_cell_angle_gamma 120.00
loop_
_atom_site_label
_atom_site_type_symbol
_atom_site_fract_x
_atom_site_fract_y
_atom_site_fract_z
Cs1 Cs 0.0000 0.0000 0.0000
Cs2 Cs 0.3333 0.6667 0.6743
Ag1 Ag 0.0000 0.0000 0.5000
Te1 Te 0.3333 0.6667 0.2354
O1 O 0.1787 0.3573 0.3131
O2 O 0.3333 0.6667 0.0178
# - final energy (eV per atom) = -4.8203

# TbHo3Cd6 PBE-GGA relaxed
data_TbHo3Cd6
_chemical_formula_sum 'Tb2 Ho6 Cd12'
_symmetry_space_group_name_H-M 'P 1 21/m 1'
_symmetry_Int_Tables_number 11
_cell_length_a 9.163
_cell_length_b 5.147
_cell_length_c 11.020
_cell_angle_alpha 90.00
_cell_angle_beta 105.54
_cell_angle_gamma 90.00
loop_
_symmetry_equiv_pos_as_xyz
'x,y,z'
'-x,-y,-z'
'-x,y+1/2,-z'
'x,-y+1/2,z'
loop_
_atom_site_label
_atom_site_type_symbol
_atom_site_fract_x
_atom_site_fract_y
_atom_site_fract_z
Tb1 Tb 0.056 0.250 0.392
Ho1 Ho 0.240 0.250 0.998
Ho2 Ho 0.351 0.750 0.795
Ho3 Ho 0.471 0.250 0.606
Cd1 Cd 0.052 0.750 0.901
Cd2 Cd 0.144 0.750 0.196
Cd3 Cd 0.153 0.250 0.694
Cd4 Cd 0.243 0.750 0.500
Cd5 Cd 0.344 0.250 0.292
Cd6 Cd 0.450 0.750 0.096
# - DOS at the Fermi energy (states/eV/cell) = 14.556
# - energy of formation (eV per formula unit) = -2.87

# CsZrTe2Cl PBE-GGA relaxed
data_CsZrTe2Cl
_chemical_formula_sum 'Cs1 Zr1 Te2 Cl1'
_symmetry_space_group_name_H-M 'P 4/m m m'
_symmetry_Int_Tables_number 123
_symmetry_space_group_name_Hall '-P 4 2'
_cell_length_a 5.743
_cell_length_b 5.743
_cell_length_c 5.274
_cell_angle_alpha 90.00
_cell_angle_beta 90.00
_cell_angle_gamma 90.00
loop_
_atom_site_label
_atom_site_type_symbol
_atom_site_fract_x
_atom_site_fract_y
_atom_site_fract_z
Cs1 Cs 0.000 0.000 0.000
Zr1 Zr 0.500 0.500 0.500
Te1 Te 0.000 0.500 0.500
Cl1 Cl 0.500 0.500 0.000
# - final energy (eV per atom) = -4.6358
# - DOS at the Fermi energy (states/eV/cell) = 1.807

# Rb3Ho3InTe8 PBE-GGA relaxed
data_Rb3Ho3InTe8
_chemical_formula_sum 'Rb6 Ho6 In2 Te16'
_symmetry_space_group_name_H-M 'C 1 2/m 1'
_symmetry_Int_Tables_number 12
_cell_length_a 15.236
_cell_length_b 8.772
_cell_length_c 10.207
_cell_angle_alpha 90.00
_cell_angle_beta 119.91
_cell_angle_gamma 90.00
loop_
_symmetry_equiv_pos_as_xyz
'x,y,z'
'-x,-y,-z'
'-x,y,-z'
'x,-y,z'
'x+1/2,y+1/2,z'
'-x+1/2,-y+1/2,-z'
'-x+1/2,y+1/2,-z'
'x+1/2,-y+1/2,z'
loop_
_atom_site_label
_atom_site_type_symbol
_atom_site_fract_x
_atom_site_fract_y
_atom_site_fract_z
Rb1 Rb 0.000 0.000 0.000
Rb2 Rb 0.250 0.250 0.000
Ho1 Ho 0.000 0.500 0.500
Ho2 Ho 0.250 0.250 0.500
In1 In 0.000 0.000 0.500
Te1 Te 0.018 0.250 0.304
Te2 Te 0.232 0.000 0.696
Te3 Te 0.233 0.500 0.700
# - final energy (eV per atom) = -4.0590
# - DOS at the Fermi energy (states/eV/cell) = 12.489

Here are the calculated calculated density numbers, same order: 14.67, 9.27, 7.46, 8.84, 7.57, 9.00, 4.77, 8.81, 4.91, 5.30 (g/cm3).